1.
The following is a DFT calculation (PBEsol) of a geometry-optimized CdIn2Cu structure.

Unit cell a=8.9524 b=8.9524 c=8.9524 alpha=21.07 beta=21.07 gamma=21.07
Last column: nearest neighbours and their distance in Å.
Positions (direct):
Cd1 0.0000 0.0000 0.0000  6 In 3.09, 6 Cd 3.27
In1 0.2400 0.2400 0.2400  3 Cu 2.70
In2 0.7600 0.7600 0.7600  3 Cu 2.70
Cu1 0.5000 0.5000 0.5000  6 In 2.70

Results
Its total magnetization is 0.000 μB per cell. The value obtained for the calculated density is 8.296 g/cm³. Its formation energy is 0.08 eV/atom. As for the space group: R-3m (166).

2.
The following is a DFT calculation (PBEsol) of a geometry-optimized Sr2LiMg2 structure.

Unit cell a=8.0953 b=8.0953 c=5.3357 alpha=90.00 beta=90.00 gamma=90.00
Last column: nearest neighbours and their distance in Å.
Positions (direct):
Sr1 0.1728 0.3272 0.0000  6 Mg 3.48-3.65
Sr2 0.3272 0.8272 0.0000  6 Mg 3.48-3.65
Sr3 0.6728 0.1728 0.0000  6 Mg 3.48-3.65
Sr4 0.8272 0.6728 0.0000  6 Mg 3.48-3.65
Li1 0.0000 0.0000 0.5000  4 Mg 3.17
Li2 0.5000 0.5000 0.5000  4 Mg 3.17
Mg1 0.1318 0.6318 0.5000  1 Mg 3.02, 2 Li 3.17
Mg2 0.3682 0.1318 0.5000  1 Mg 3.02, 2 Li 3.17
Mg3 0.6318 0.8682 0.5000  1 Mg 3.02, 2 Li 3.17
Mg4 0.8682 0.3682 0.5000  1 Mg 3.02, 2 Li 3.17

Results
Its total magnetization is 0.000 μB per cell. The value obtained for the calculated density is 2.192 g/cm³. Its formation energy is 0.03 eV/atom. As for the space group: P4/mbm (127).

3.
The following is a DFT calculation (PBEsol) of a geometry-optimized Zn2Ag structure.

Unit cell a=5.5357 b=5.5357 c=5.5357 alpha=149.31 beta=149.31 gamma=43.95
Last column: nearest neighbours and their distance in Å.
Positions (direct):
Zn1 0.1724 0.1724 0.0000  4 Zn 2.61, 4 Ag 2.72
Zn2 0.8276 0.8276 0.0000  4 Zn 2.61, 4 Ag 2.72
Ag1 0.5000 0.5000 0.0000  8 Zn 2.72, 4 Ag 2.93

Results
Its total magnetization is 0.000 μB per cell. The value obtained for the calculated density is 8.996 g/cm³. Its formation energy is -0.04 eV/atom. As for the space group: I4/mmm (139).

4.
The following is a DFT calculation (PBEsol) of a geometry-optimized Ca2ScBr structure.

Unit cell a=5.8379 b=5.8379 c=3.5583 alpha=90.00 beta=90.00 gamma=90.00
Last column: nearest neighbours and their distance in Å.
Positions (direct):
Ca1 0.0000 0.5000 0.0000  4 Br 3.42, 4 Sc 3.42, 2 Ca 3.56
Ca2 0.5000 0.0000 0.0000  4 Br 3.42, 4 Sc 3.42, 2 Ca 3.56
Sc1 0.0000 0.0000 0.5000  8 Ca 3.42, 2 Sc 3.56
Br1 0.5000 0.5000 0.5000  8 Ca 3.42, 2 Br 3.56

Results
The uncorrected formation energy comes out at -272 meV/atom. Its total magnetization is 0.001 μB per cell. The value obtained for the calculated density is 2.807 g/cm³. As for the space group: P4/mmm (123).

5.
The following is a DFT calculation (PBEsol) of a geometry-optimized OsCl structure.

Unit cell a=4.3955 b=4.3955 c=4.3955 alpha=60.00 beta=60.00 gamma=60.00
Last column: nearest neighbours and their distance in Å.
Positions (direct):
Os1 0.1250 0.1250 0.1250  4 Cl 2.69, 4 Os 2.69
Os2 0.8750 0.8750 0.8750  4 Os 2.69, 4 Cl 2.69
Cl1 0.3750 0.3750 0.3750  4 Os 2.69, 4 Cl 2.69
Cl2 0.6250 0.6250 0.6250  4 Os 2.69, 4 Cl 2.69

Results
The uncorrected formation energy comes out at 1291 meV/atom. Its total magnetization is 0.001 μB per cell. The value obtained for the calculated density is 12.482 g/cm³. As for the space group: Fd-3m (227).

6.
The following is a DFT calculation (PBEsol) of a geometry-optimized W2C structure.

Unit cell a=5.2075 b=5.2075 c=4.7381 alpha=90.00 beta=90.00 gamma=120.00
Last column: nearest neighbours and their distance in Å.
Positions (direct):
W1 0.0000 0.3318 0.2520  3 C 2.09-2.11
W2 0.0000 0.6682 0.7480  3 C 2.09-2.11
W3 0.3318 0.0000 0.2520  3 C 2.09-2.11
W4 0.3318 0.3318 0.7480  3 C 2.09-2.11
W5 0.6682 0.0000 0.7480  3 C 2.09-2.11
W6 0.6682 0.6682 0.2520  3 C 2.09-2.11
C1 0.0000 0.0000 0.5000  6 W 2.09
C2 0.3333 0.6667 0.0000  6 W 2.11
C3 0.6667 0.3333 0.0000  6 W 2.11

Results
Its total magnetization is 0.000 μB per cell. The value obtained for the calculated density is 16.998 g/cm³. Its formation energy is -0.06 eV/atom. As for the space group: P-31m (162).

7.
The following is a DFT calculation (PBEsol) of a geometry-optimized In2SbW structure.

Unit cell a=3.7722 b=3.7722 c=5.7536 alpha=90.00 beta=90.00 gamma=90.00
Last column: nearest neighbours and their distance in Å.
Positions (direct):
In1 0.0000 0.0000 0.2367  2 In 2.72-3.03, 4 W 2.99
In2 0.0000 0.0000 0.7633  2 In 2.72-3.03, 4 W 2.99
Sb1 0.5000 0.5000 0.5000  2 W 2.88, 8 In 3.07
W1 0.5000 0.5000 0.0000  2 Sb 2.88, 8 In 2.99

Results
The uncorrected formation energy comes out at 614 meV/atom. Its total magnetization is 0.000 μB per cell. The value obtained for the calculated density is 10.856 g/cm³. As for the space group: P4/mmm (123).

8.
The following is a DFT calculation (PBEsol) of a geometry-optimized Li8La structure.

Unit cell a=7.9297 b=7.9297 c=7.9297 alpha=92.55 beta=92.55 gamma=155.67
Last column: nearest neighbours and their distance in Å.
Positions (direct):
Li1 0.0000 0.3285 0.3285  10 Li 3.06-3.34
Li2 0.0000 0.6715 0.6715  10 Li 3.06-3.34
Li3 0.3201 0.3201 0.6403  6 Li 2.74-3.06
Li4 0.3201 0.6799 0.0000  6 Li 2.74-3.06
Li5 0.3285 0.0000 0.3285  10 Li 3.06-3.34
Li6 0.6715 0.0000 0.6715  10 Li 3.06-3.34
Li7 0.6799 0.3201 0.0000  6 Li 2.74-3.06
Li8 0.6799 0.6799 0.3597  6 Li 2.74-3.06
La1 0.0000 0.0000 0.0000  12 Li 3.25-3.60, 2 La 3.34

Results
Its total magnetization is 0.003 μB per cell. The value obtained for the calculated density is 1.608 g/cm³. Its formation energy is 0.08 eV/atom. As for the space group: I4/mmm (139).

9.
The following is a DFT calculation (PBEsol) of a geometry-optimized BaSiIr structure.

Unit cell a=4.0849 b=4.0849 c=5.0526 alpha=90.00 beta=90.00 gamma=120.00
Last column: nearest neighbours and their distance in Å.
Positions (direct):
Ba1 0.0000 0.0000 0.0000  6 Si 3.46, 6 Ir 3.46
Si1 0.6667 0.3333 0.5000  3 Ir 2.36
Ir1 0.3333 0.6667 0.5000  3 Si 2.36

Results
The uncorrected formation energy comes out at -528 meV/atom. Its total magnetization is 0.000 μB per cell. The value obtained for the calculated density is 8.133 g/cm³. As for the space group: P-6m2 (187).

10.
The following is a DFT calculation (PBEsol) of a geometry-optimized Ni3AsC structure.

Unit cell a=3.7829 b=3.7829 c=3.7829 alpha=90.00 beta=90.00 gamma=90.00
Last column: nearest neighbours and their distance in Å.
Positions (direct):
Ni1 0.0000 0.0000 0.5000  2 C 1.89
Ni2 0.0000 0.5000 0.0000  2 C 1.89
Ni3 0.5000 0.0000 0.0000  2 C 1.89
As1 0.5000 0.5000 0.5000  12 Ni 2.67
C1 0.0000 0.0000 0.0000  6 Ni 1.89

Results
Its total magnetization is 0.000 μB per cell. The value obtained for the calculated density is 8.068 g/cm³. Its formation energy is 0.06 eV/atom. As for the space group: Pm-3m (221).

11.
The following is a DFT calculation (PBEsol) of a geometry-optimized K2SiW structure.

Unit cell a=2.8190 b=5.3062 c=5.7639 alpha=90.00 beta=90.00 gamma=90.00
Last column: nearest neighbours and their distance in Å.
Positions (direct):
K1 0.0000 0.2492 0.0000  4 K 2.64-2.82
K2 0.0000 0.7508 0.0000  4 K 2.64-2.82
Si1 0.5000 0.0000 0.5000  2 W 2.65, 2 Si 2.82
W1 0.5000 0.5000 0.5000  2 Si 2.65, 2 W 2.82

Results
The uncorrected formation energy comes out at 1200 meV/atom. Its total magnetization is 0.000 μB per cell. The value obtained for the calculated density is 5.588 g/cm³. As for the space group: Pmmm (47).

12.
The following is a DFT calculation (PBEsol) of a geometry-optimized CrInCu2 structure.

Unit cell a=4.6658 b=4.6658 c=4.6658 alpha=130.31 beta=130.31 gamma=72.92
Last column: nearest neighbours and their distance in Å.
Positions (direct):
Cr1 0.0000 0.0000 0.0000  4 In 2.71, 8 Cu 2.71-2.77
In1 0.2500 0.7500 0.5000  8 Cu 2.71-2.77, 4 Cr 2.71
Cu1 0.5000 0.5000 0.0000  4 Cu 2.71, 4 In 2.71, 4 Cr 2.77
Cu2 0.7500 0.2500 0.5000  4 Cu 2.71, 4 Cr 2.71, 4 In 2.77

Results
Its total magnetization is 3.583 μB per cell. The value obtained for the calculated density is 8.459 g/cm³. Its formation energy is 0.27 eV/atom. As for the space group: I-4m2 (119).